[1]
Material: In6NiRh5
Method: DFT, PBE-GGA
State: relaxed

Output
DOS at the Fermi energy = 4.44 states/eV/f.u.
formation energy from the elements = -4.27 eV/f.u.

Structure (CIF):
```
data_In6NiRh5
_chemical_formula_sum 'In6 Ni1 Rh5'
_cell_length_a 4.652
_cell_length_b 6.274
_cell_length_c 7.146
_cell_angle_alpha 90.00
_cell_angle_beta 103.70
_cell_angle_gamma 90.00
_symmetry_space_group_name_H-M 'P 1 2/m 1'
_symmetry_Int_Tables_number 10
loop_
_symmetry_equiv_pos_as_xyz
'x,y,z'
'-x,-y,-z'
'-x,y,-z'
'x,-y,z'
loop_
_atom_site_label
_atom_site_type_symbol
_atom_site_fract_x
_atom_site_fract_y
_atom_site_fract_z
In1 In 0.000 0.248 0.000
In2 In 0.329 0.249 0.669
Ni1 Ni 0.500 0.000 0.000
Rh1 Rh 0.171 0.500 0.333
Rh2 Rh 0.176 0.000 0.332
Rh3 Rh 0.500 0.500 0.000
```

---

[2]
Material: In3NiRh2
Method: DFT, PBE-GGA
State: relaxed

Output
DOS at the Fermi energy = 4.56 states/eV/f.u.
formation energy from the elements = -1.74 eV/f.u.

Structure (CIF):
```
data_In3NiRh2
_chemical_formula_sum 'In6 Ni2 Rh4'
_cell_length_a 4.5517
_cell_length_b 4.5517
_cell_length_c 11.1591
_cell_angle_alpha 90.00
_cell_angle_beta 90.00
_cell_angle_gamma 120.00
_symmetry_space_group_name_H-M 'P -3 m 1'
_symmetry_Int_Tables_number 164
_symmetry_space_group_name_Hall '-P 3 2"'
loop_
_atom_site_label
_atom_site_type_symbol
_atom_site_fract_x
_atom_site_fract_y
_atom_site_fract_z
In1 In 0.0000 0.0000 0.2470
In2 In 0.3333 0.6667 0.4141
In3 In 0.3333 0.6667 0.9176
Ni1 Ni 0.3333 0.6667 0.1678
Rh1 Rh 0.0000 0.0000 0.0000
Rh2 Rh 0.0000 0.0000 0.5000
Rh3 Rh 0.3333 0.6667 0.6676
```

---

[3]
Material: InNi4Rh
Method: DFT, PBE-GGA
State: relaxed

Output
DOS at the Fermi energy = 8.98 states/eV/f.u.
formation energy from the elements = -0.10 eV/f.u.

Structure (CIF):
```
data_InNi4Rh
_chemical_formula_sum 'In4 Ni16 Rh4'
_cell_length_a 6.767
_cell_length_b 6.767
_cell_length_c 6.767
_cell_angle_alpha 90.00
_cell_angle_beta 90.00
_cell_angle_gamma 90.00
_symmetry_space_group_name_H-M 'F -4 3 m'
_symmetry_Int_Tables_number 216
_symmetry_space_group_name_Hall 'F -4 2 3'
loop_
_atom_site_label
_atom_site_type_symbol
_atom_site_fract_x
_atom_site_fract_y
_atom_site_fract_z
In1 In 0.000 0.000 0.000
Ni1 Ni 0.124 0.124 0.624
Rh1 Rh 0.250 0.250 0.250
```

---

Number 1: E -5.270 eV per atom. Number 2: E -5.073 eV per atom. Number 3: E -5.553 eV per atom.